Th2Al3Pd4: relaxed, GGA-PBE.

Properties
Total magnetization: 0.00 μB/atom
E: -6.036 eV/atom

a b c (Å): 5.787 7.495 8.456
angles (deg): 90.00 110.01 90.00
Positions (direct):
Th 0.108 0.587 0.216
Th 0.608 0.913 0.216
Th 0.892 0.413 0.784
Th 0.392 0.087 0.784
Pd 0.821 0.021 0.642
Pd 0.315 0.250 0.130
Pd 0.179 0.979 0.358
Pd 0.685 0.750 0.870
Pd 0.679 0.521 0.358
Pd 0.321 0.479 0.642
Pd 0.815 0.250 0.130
Pd 0.185 0.750 0.870
Al 0.020 0.750 0.539
Al 0.500 0.500 0.000
Al 0.980 0.250 0.461
Al 0.480 0.250 0.461
Al 0.000 0.000 0.000
Al 0.520 0.750 0.539